(1)
Computed, not measured: a geometry-optimized Re2TeRh structure at the PBE level of DFT.

```
data_Re2TeRh
_chemical_formula_sum 'Re2 Te1 Rh1'
_cell_length_a 3.045
_cell_length_b 3.764
_cell_length_c 5.888
_cell_angle_alpha 90.00
_cell_angle_beta 90.00
_cell_angle_gamma 90.00
_symmetry_space_group_name_H-M 'P m m 2'
_symmetry_Int_Tables_number 25
_symmetry_space_group_name_Hall 'P 2 -2'
loop_
_atom_site_label
_atom_site_type_symbol
_atom_site_fract_x
_atom_site_fract_y
_atom_site_fract_z
Re1 Re 0.000 0.000 0.000
Re2 Re 0.500 0.500 0.186
Te1 Te 0.500 0.500 0.679
Rh1 Rh 0.000 0.000 0.456
```

Computed properties:
Raw formation energy   426 meV/atom
DOS at the Fermi energy   4.3 states/eV/cell



(2)
Computed, not measured: a geometry-optimized Cs2NpMn2Se4 structure at the PBE level of DFT.

```
data_Cs2NpMn2Se4
_chemical_formula_sum 'Cs4 Np2 Mn4 Se8'
_cell_length_a 15.752
_cell_length_b 4.279
_cell_length_c 8.511
_cell_angle_alpha 90.00
_cell_angle_beta 108.49
_cell_angle_gamma 90.00
_symmetry_space_group_name_H-M 'C 1 2/m 1'
_symmetry_Int_Tables_number 12
_symmetry_space_group_name_Hall '-C 2y'
loop_
_atom_site_label
_atom_site_type_symbol
_atom_site_fract_x
_atom_site_fract_y
_atom_site_fract_z
Cs1 Cs 0.134 0.000 0.053
Np1 Np 0.000 0.000 0.500
Mn1 Mn 0.181 0.500 0.485
Se1 Se 0.025 0.500 0.281
Se2 Se 0.197 0.000 0.658
```

Computed properties:
Raw formation energy   -865 meV/atom
DOS at the Fermi energy   20.8 states/eV/cell



(3)
Computed, not measured: a geometry-optimized Sm2TcI structure at the PBE level of DFT.

```
data_Sm2TcI
_chemical_formula_sum 'Sm2 Tc1 I1'
_cell_length_a 3.598
_cell_length_b 3.598
_cell_length_c 8.287
_cell_angle_alpha 90.00
_cell_angle_beta 90.00
_cell_angle_gamma 90.00
_symmetry_space_group_name_H-M 'P 4/m m m'
_symmetry_Int_Tables_number 123
_symmetry_space_group_name_Hall '-P 4 2'
loop_
_atom_site_label
_atom_site_type_symbol
_atom_site_fract_x
_atom_site_fract_y
_atom_site_fract_z
Sm1 Sm 0.000 0.000 0.199
Tc1 Tc 0.500 0.500 0.000
I1 I 0.500 0.500 0.500
```

Computed properties:
ΔE to the lowest computed polymorph   0 meV/atom
Raw formation energy   -383 meV/atom
DOS at the Fermi energy   2.3 states/eV/cell